The following is a DFT calculation (GGA-PBE) of a relaxed KEr4ClO6 crystal. Values from VASP.

Geometry as Quantum ESPRESSO input:
```
&SYSTEM
  ibrav = 0, nat = 12, ntyp = 4
/
ATOMIC_SPECIES
Er 167.26 Er.upf
O 16.00 O.upf
Cl 35.45 Cl.upf
K 39.10 K.upf
CELL_PARAMETERS angstrom
-2.766 0.017 5.994
6.022 -2.568 -0.849
3.487 7.651 1.587
ATOMIC_POSITIONS crystal
Er 0.667 0.333 0.758
Er 0.333 0.667 0.242
Er 0.333 0.667 0.758
Er 0.667 0.333 0.242
O 0.000 0.500 0.684
O 0.500 0.500 0.316
O 0.500 0.000 0.316
O 0.500 0.000 0.684
O 0.000 0.500 0.316
O 0.500 0.500 0.684
Cl 0.000 0.000 0.000
K 0.000 0.000 0.500
```

Properties
E_tot = -6.647 eV per atom

=====

The following is a DFT calculation (GGA-PBE) of a relaxed ErCoOs crystal. Values from VASP.

Geometry as Quantum ESPRESSO input:
```
&SYSTEM
  ibrav = 0, nat = 6, ntyp = 3
/
ATOMIC_SPECIES
Os 190.23 Os.upf
Co 58.93 Co.upf
Er 167.26 Er.upf
CELL_PARAMETERS angstrom
4.752 -1.475 -1.464
1.987 4.533 1.552
-2.754 -2.978 3.232
ATOMIC_POSITIONS crystal
Os 0.500 0.000 0.000
Os 0.500 0.500 0.500
Co 0.000 0.000 0.000
Co 0.500 0.000 0.500
Er 0.127 0.377 0.750
Er 0.873 0.623 0.250
```

Properties
Offset from the most stable computed form = 0.0 meV/atom
Calculated formation energy = -88.4 kJ/mol of formula units
E_tot = -7.937 eV per atom

=====

The following is a DFT calculation (GGA-PBE) of a relaxed Sm3Cd4In2 crystal. Values from VASP.

Geometry as Quantum ESPRESSO input:
```
&SYSTEM
  ibrav = 0, nat = 9, ntyp = 3
/
ATOMIC_SPECIES
Cd 112.41 Cd.upf
Sm 150.36 Sm.upf
In 114.82 In.upf
CELL_PARAMETERS angstrom
5.602 -2.485 0.000
5.602 2.485 0.000
-4.353 0.000 8.317
ATOMIC_POSITIONS crystal
Cd 0.294 0.294 0.464
Cd 0.074 0.074 0.910
Cd 0.706 0.706 0.536
Cd 0.926 0.926 0.090
Sm 0.334 0.334 0.830
Sm 0.666 0.666 0.170
Sm 0.000 0.000 0.500
In 0.390 0.390 0.225
In 0.610 0.610 0.775
```

Properties
E_tot = -2.993 eV per atom

=====

The following is a DFT calculation (GGA-PBE) of a relaxed LaPrNi6B2Pt2 crystal. Values from VASP.

Geometry as Quantum ESPRESSO input:
```
&SYSTEM
  ibrav = 0, nat = 12, ntyp = 5
/
ATOMIC_SPECIES
Ni 58.69 Ni.upf
Pt 195.08 Pt.upf
B 10.81 B.upf
La 138.91 La.upf
Pr 140.91 Pr.upf
CELL_PARAMETERS angstrom
5.215 0.000 0.000
-2.608 4.517 0.000
0.000 0.000 7.189
ATOMIC_POSITIONS crystal
Ni 0.500 0.000 0.693
Ni 0.500 0.500 0.307
Ni 0.500 0.500 0.693
Ni 0.500 0.000 0.307
Ni 0.000 0.500 0.307
Ni 0.000 0.500 0.693
Pt 0.667 0.333 0.000
Pt 0.333 0.667 0.000
B 0.333 0.667 0.500
B 0.667 0.333 0.500
La 0.000 0.000 0.000
Pr 0.000 0.000 0.500
```

Properties
Offset from the most stable computed form = 0.0 meV/atom
E_tot = -6.280 eV per atom

=====

The following is a DFT calculation (GGA-PBE) of a relaxed Be2Cd crystal. Values from VASP.

Geometry as Quantum ESPRESSO input:
```
&SYSTEM
  ibrav = 0, nat = 6, ntyp = 2
/
ATOMIC_SPECIES
Be 9.01 Be.upf
Cd 112.41 Cd.upf
CELL_PARAMETERS angstrom
-2.390 -1.920 3.561
-0.575 2.392 4.003
-4.239 1.666 1.153
ATOMIC_POSITIONS crystal
Be 0.625 0.625 0.125
Be 0.625 0.125 0.625
Be 0.125 0.625 0.625
Be 0.625 0.625 0.625
Cd 0.000 0.000 0.000
Cd 0.250 0.250 0.250
```

Properties
Offset from the most stable computed form = 4.6 meV/atom
E_tot = -2.525 eV per atom

=====

The following is a DFT calculation (GGA-PBE) of a relaxed Cu2IrPd crystal. Values from VASP.

Geometry as Quantum ESPRESSO input:
```
&SYSTEM
  ibrav = 0, nat = 4, ntyp = 3
/
ATOMIC_SPECIES
Cu 63.55 Cu.upf
Pd 106.42 Pd.upf
Ir 192.22 Ir.upf
CELL_PARAMETERS angstrom
0.000 3.020 3.020
3.020 0.000 3.020
3.020 3.020 0.000
ATOMIC_POSITIONS crystal
Cu 0.250 0.250 0.250
Cu 0.000 0.000 0.000
Pd 0.750 0.750 0.750
Ir 0.500 0.500 0.500
```

Properties
Calculated formation energy = 94.9 kJ/mol of formula units
E_tot = -5.120 eV per atom

=====

The following is a DFT calculation (GGA-PBE) of a relaxed Pr5Sn4 crystal. Values from VASP.

Geometry as Quantum ESPRESSO input:
```
&SYSTEM
  ibrav = 0, nat = 36, ntyp = 2
/
ATOMIC_SPECIES
Pr 140.91 Pr.upf
Sn 118.71 Sn.upf
CELL_PARAMETERS angstrom
-7.208 4.189 0.590
-8.064 -13.314 -3.984
-0.559 -2.121 8.221
ATOMIC_POSITIONS crystal
Pr 0.983 0.599 0.681
Pr 0.131 0.620 0.163
Pr 0.631 0.620 0.337
Pr 0.983 0.901 0.681
Pr 0.017 0.099 0.319
Pr 0.869 0.120 0.837
Pr 0.369 0.120 0.663
Pr 0.517 0.099 0.181
Pr 0.131 0.880 0.163
Pr 0.301 0.750 0.498
Pr 0.801 0.750 0.002
Pr 0.483 0.901 0.819
Pr 0.369 0.380 0.663
Pr 0.699 0.250 0.502
Pr 0.869 0.380 0.837
Pr 0.017 0.401 0.319
Pr 0.483 0.599 0.819
Pr 0.517 0.401 0.181
Pr 0.631 0.880 0.337
Pr 0.199 0.250 0.998
Sn 0.321 0.250 0.359
Sn 0.679 0.750 0.641
Sn 0.791 0.542 0.036
Sn 0.932 0.750 0.387
Sn 0.791 0.958 0.036
Sn 0.179 0.750 0.859
Sn 0.709 0.458 0.536
Sn 0.291 0.542 0.464
Sn 0.068 0.250 0.613
Sn 0.568 0.250 0.887
Sn 0.709 0.042 0.536
Sn 0.209 0.042 0.964
Sn 0.821 0.250 0.141
Sn 0.291 0.958 0.464
Sn 0.432 0.750 0.113
Sn 0.209 0.458 0.964
```

Properties
Offset from the most stable computed form = 0.0 meV/atom
E_tot = -5.189 eV per atom

=====

The following is a DFT calculation (GGA-PBE) of a relaxed Y2Tm3Lu2Ni2Te2 crystal. Values from VASP.

Geometry as Quantum ESPRESSO input:
```
&SYSTEM
  ibrav = 0, nat = 11, ntyp = 5
/
ATOMIC_SPECIES
Y 88.91 Y.upf
Tm 168.93 Tm.upf
Ni 58.69 Ni.upf
Te 127.60 Te.upf
Lu 174.97 Lu.upf
CELL_PARAMETERS angstrom
-1.908 7.703 4.763
1.908 -7.703 4.763
1.908 7.703 -4.763
ATOMIC_POSITIONS crystal
Y 0.284 0.099 0.185
Y 0.913 0.099 0.815
Tm 0.975 0.475 0.500
Tm 0.262 0.896 0.367
Tm 0.529 0.896 0.633
Ni 0.140 0.401 0.738
Ni 0.663 0.401 0.262
Te 0.641 0.141 0.500
Te 0.243 0.243 0.000
Lu 0.896 0.749 0.147
Lu 0.602 0.749 0.853
```

Properties
Offset from the most stable computed form = 20.8 meV/atom
E_tot = -5.465 eV per atom

=====

The following is a DFT calculation (GGA-PBE) of a relaxed SmMgO3 crystal. Values from VASP.

Geometry as Quantum ESPRESSO input:
```
&SYSTEM
  ibrav = 0, nat = 20, ntyp = 3
/
ATOMIC_SPECIES
O 16.00 O.upf
Sm 150.36 Sm.upf
Mg 24.30 Mg.upf
CELL_PARAMETERS angstrom
5.346 0.000 0.000
0.000 5.748 0.000
0.000 0.000 7.678
ATOMIC_POSITIONS crystal
O 0.893 0.537 0.750
O 0.189 0.198 0.946
O 0.689 0.302 0.446
O 0.107 0.463 0.250
O 0.607 0.037 0.750
O 0.189 0.198 0.554
O 0.393 0.963 0.250
O 0.311 0.698 0.946
O 0.689 0.302 0.054
O 0.811 0.802 0.054
O 0.311 0.698 0.554
O 0.811 0.802 0.446
Sm 0.021 0.928 0.750
Sm 0.979 0.072 0.250
Sm 0.479 0.428 0.750
Sm 0.521 0.572 0.250
Mg 0.000 0.500 0.500
Mg 0.500 0.000 0.000
Mg 0.000 0.500 0.000
Mg 0.500 0.000 0.500
```

Properties
E_tot = -6.846 eV per atom

=====

The following is a DFT calculation (GGA-PBE) of a relaxed RbNdO3 crystal. Values from VASP.

Geometry as Quantum ESPRESSO input:
```
&SYSTEM
  ibrav = 0, nat = 20, ntyp = 3
/
ATOMIC_SPECIES
Nd 144.24 Nd.upf
O 16.00 O.upf
Rb 85.47 Rb.upf
CELL_PARAMETERS angstrom
-1.089 -6.134 -1.619
4.156 -1.946 4.578
-6.853 -0.383 6.060
ATOMIC_POSITIONS crystal
Nd 0.500 0.000 0.500
Nd 0.000 0.500 0.000
Nd 0.500 0.000 0.000
Nd 0.000 0.500 0.500
O 0.971 0.508 0.750
O 0.267 0.733 0.515
O 0.233 0.233 0.515
O 0.267 0.733 0.985
O 0.767 0.767 0.485
O 0.767 0.767 0.015
O 0.733 0.267 0.015
O 0.233 0.233 0.985
O 0.029 0.492 0.250
O 0.733 0.267 0.485
O 0.529 0.008 0.750
O 0.471 0.992 0.250
Rb 0.500 0.508 0.250
Rb 0.500 0.492 0.750
Rb 0.000 0.992 0.750
Rb 0.000 0.008 0.250
```

Properties
E_tot = -5.849 eV per atom

=====

The following is a DFT calculation (GGA-PBE) of a relaxed Na3Pd crystal. Values from VASP.

Geometry as Quantum ESPRESSO input:
```
&SYSTEM
  ibrav = 0, nat = 4, ntyp = 2
/
ATOMIC_SPECIES
Na 22.99 Na.upf
Pd 106.42 Pd.upf
CELL_PARAMETERS angstrom
0.000 3.483 3.483
3.483 0.000 3.483
3.483 3.483 0.000
ATOMIC_POSITIONS crystal
Na 0.750 0.750 0.750
Na 0.500 0.500 0.500
Na 0.250 0.250 0.250
Pd 0.000 0.000 0.000
```

Properties
E_tot = -2.284 eV per atom

=====

The following is a DFT calculation (GGA-PBE) of a relaxed Y5Ho2Tm crystal. Values from VASP.

Geometry as Quantum ESPRESSO input:
```
&SYSTEM
  ibrav = 0, nat = 8, ntyp = 3
/
ATOMIC_SPECIES
Ho 164.93 Ho.upf
Y 88.91 Y.upf
Tm 168.93 Tm.upf
CELL_PARAMETERS angstrom
-2.065 -1.233 5.080
3.844 -6.142 0.072
6.716 -0.039 2.721
ATOMIC_POSITIONS crystal
Ho 0.000 0.333 0.333
Ho 0.500 0.667 0.667
Y 0.000 0.833 0.335
Y 0.500 0.167 0.167
Y 0.500 0.666 0.166
Y 0.000 0.335 0.833
Y 0.500 0.166 0.666
Tm 0.000 0.833 0.833
```

Properties
Calculated formation energy = 2.1 kJ/mol of formula units
E_tot = -5.742 eV per atom

=====

The following is a DFT calculation (GGA-PBE) of a relaxed Pr3Ag4Pb4 crystal. Values from VASP.

Geometry as Quantum ESPRESSO input:
```
&SYSTEM
  ibrav = 0, nat = 11, ntyp = 3
/
ATOMIC_SPECIES
Pb 207.20 Pb.upf
Pr 140.91 Pr.upf
Ag 107.87 Ag.upf
CELL_PARAMETERS angstrom
-2.385 3.757 7.946
2.385 -3.757 7.946
2.385 3.757 -7.946
ATOMIC_POSITIONS crystal
Pb 0.285 0.785 0.500
Pb 0.715 0.215 0.500
Pb 0.800 0.500 0.300
Pb 0.200 0.500 0.700
Pr 0.870 0.870 0.000
Pr 0.130 0.130 0.000
Pr 0.500 0.000 0.500
Ag 0.135 0.330 0.805
Ag 0.476 0.670 0.805
Ag 0.865 0.670 0.195
Ag 0.524 0.330 0.195
```

Properties
E_tot = -4.045 eV per atom

=====

The following is a DFT calculation (GGA-PBE) of a relaxed NaYAlAu crystal. Values from VASP.

Geometry as Quantum ESPRESSO input:
```
&SYSTEM
  ibrav = 0, nat = 4, ntyp = 4
/
ATOMIC_SPECIES
Y 88.91 Y.upf
Au 196.97 Au.upf
Al 26.98 Al.upf
Na 22.99 Na.upf
CELL_PARAMETERS angstrom
3.738 -2.192 2.197
-0.661 -2.242 4.259
0.170 -4.849 0.245
ATOMIC_POSITIONS crystal
Y 0.000 0.000 0.000
Au 0.750 0.750 0.750
Al 0.500 0.500 0.500
Na 0.250 0.250 0.250
```

Properties
Offset from the most stable computed form = 0.0 meV/atom
E_tot = -4.082 eV per atom

=====

The following is a DFT calculation (GGA-PBE) of a relaxed PrF crystal. Values from VASP.

Geometry as Quantum ESPRESSO input:
```
&SYSTEM
  ibrav = 0, nat = 2, ntyp = 2
/
ATOMIC_SPECIES
Pr 140.91 Pr.upf
F 19.00 F.upf
CELL_PARAMETERS angstrom
0.000 2.601 2.601
2.601 0.000 2.601
2.601 2.601 0.000
ATOMIC_POSITIONS crystal
Pr 0.500 0.500 0.500
F 0.000 0.000 0.000
```

Properties
Offset from the most stable computed form = 67.5 meV/atom
E_tot = -5.526 eV per atom

=====

The following is a DFT calculation (GGA-PBE) of a relaxed KPrBeTe3 crystal. Values from VASP.

Geometry as Quantum ESPRESSO input:
```
&SYSTEM
  ibrav = 0, nat = 12, ntyp = 4
/
ATOMIC_SPECIES
Te 127.60 Te.upf
Pr 140.91 Pr.upf
Be 9.01 Be.upf
K 39.10 K.upf
CELL_PARAMETERS angstrom
5.901 -0.887 -5.687
-6.070 4.531 3.253
7.942 5.319 7.411
ATOMIC_POSITIONS crystal
Te 0.128 0.872 0.085
Te 0.872 0.128 0.585
Te 0.128 0.872 0.415
Te 0.561 0.439 0.750
Te 0.439 0.561 0.250
Te 0.872 0.128 0.915
Pr 0.500 0.500 0.500
Pr 0.500 0.500 0.000
Be 0.963 0.037 0.750
Be 0.037 0.963 0.250
K 0.753 0.247 0.250
K 0.247 0.753 0.750
```

Properties
E_tot = -4.174 eV per atom

=====

The following is a DFT calculation (GGA-PBE) of a relaxed TbDySi2 crystal. Values from VASP.

Geometry as Quantum ESPRESSO input:
```
&SYSTEM
  ibrav = 0, nat = 8, ntyp = 3
/
ATOMIC_SPECIES
Si 28.09 Si.upf
Dy 162.50 Dy.upf
Tb 158.93 Tb.upf
CELL_PARAMETERS angstrom
-1.718 1.168 3.234
0.941 -7.230 3.111
5.067 1.574 2.125
ATOMIC_POSITIONS crystal
Si 0.500 0.212 0.129
Si 0.500 0.712 0.371
Si 0.000 0.788 0.629
Si 0.000 0.288 0.871
Dy 0.000 0.929 0.115
Dy 0.500 0.071 0.615
Tb 0.500 0.571 0.885
Tb 0.000 0.429 0.385
```

Properties
E_tot = -5.851 eV per atom

=====

The following is a DFT calculation (GGA-PBE) of a relaxed LiTaInCo crystal. Values from VASP.

Geometry as Quantum ESPRESSO input:
```
&SYSTEM
  ibrav = 0, nat = 4, ntyp = 4
/
ATOMIC_SPECIES
Co 58.93 Co.upf
In 114.82 In.upf
Ta 180.95 Ta.upf
Li 6.94 Li.upf
CELL_PARAMETERS angstrom
0.000 3.147 3.147
3.147 0.000 3.147
3.147 3.147 0.000
ATOMIC_POSITIONS crystal
Co 0.500 0.500 0.500
In 0.000 0.000 0.000
Ta 0.250 0.250 0.250
Li 0.750 0.750 0.750
```

Properties
Offset from the most stable computed form = 308.3 meV/atom
E_tot = -5.693 eV per atom

=====

The following is a DFT calculation (GGA-PBE) of a relaxed UHg3Te2Cl6 crystal. Values from VASP.

Geometry as Quantum ESPRESSO input:
```
&SYSTEM
  ibrav = 0, nat = 24, ntyp = 4
/
ATOMIC_SPECIES
Cl 35.45 Cl.upf
Te 127.60 Te.upf
Hg 200.59 Hg.upf
U 238.03 U.upf
CELL_PARAMETERS angstrom
-1.870 0.152 6.661
5.036 -6.051 1.552
10.266 9.122 2.259
ATOMIC_POSITIONS crystal
Cl 0.841 0.049 0.667
Cl 0.313 0.159 0.560
Cl 0.849 0.277 0.430
Cl 0.313 0.341 0.060
Cl 0.849 0.223 0.930
Cl 0.841 0.451 0.167
Cl 0.159 0.549 0.833
Cl 0.687 0.841 0.440
Cl 0.159 0.951 0.333
Cl 0.151 0.777 0.070
Cl 0.687 0.659 0.940
Cl 0.151 0.723 0.570
Te 0.706 0.968 0.169
Te 0.294 0.468 0.331
Te 0.706 0.532 0.669
Te 0.294 0.032 0.831
Hg 0.505 0.211 0.260
Hg 0.505 0.289 0.760
Hg 0.500 0.000 0.000
Hg 0.495 0.789 0.740
Hg 0.495 0.711 0.240
Hg 0.500 0.500 0.500
U 0.000 0.500 0.000
U 0.000 0.000 0.500
```

Properties
E_tot = -3.456 eV per atom

=====

The following is a DFT calculation (GGA-PBE) of a relaxed LuHf2In3Ir2 crystal. Values from VASP.

Geometry as Quantum ESPRESSO input:
```
&SYSTEM
  ibrav = 0, nat = 8, ntyp = 4
/
ATOMIC_SPECIES
In 114.82 In.upf
Hf 178.49 Hf.upf
Lu 174.97 Lu.upf
Ir 192.22 Ir.upf
CELL_PARAMETERS angstrom
3.288 0.000 0.000
0.000 6.618 3.776
0.000 -6.618 3.776
ATOMIC_POSITIONS crystal
In 0.500 0.230 0.998
In 0.500 0.770 0.770
In 0.500 0.998 0.230
Hf 0.000 0.576 0.000
Hf 0.000 0.000 0.576
Lu 0.000 0.419 0.419
Ir 0.500 0.675 0.331
Ir 0.500 0.331 0.675
```

Properties
E_tot = -6.909 eV per atom